(1)
Here is an optimized crystal structure of Dy12Si3C5 from the Alexandria database. Energies are from PBE.

The calculation puts the density of states at the Fermi level at 0.498 states/eV/atom. For the magnetic moment, the calculation gives 0.0 μB per cell. As for the crystal system: cubic. The calculation puts the formation energy from raw total energies at -316 meV per atom.

The space group is Ia-3d (No. 230) and the conventional cell measures 15.471, 15.471 and 15.471 Å, with angles of 90.00, 90.00 and 90.00 degrees. Symmetry generates all atoms from Dy at (0.030, 0.056, 0.650), Si at (0.000, 0.250, 0.125), C at (0.000, 0.000, 0.000) and C at (0.000, 0.250, 0.375).

***

(2)
Here is an optimized crystal structure of Dy12Si6C from the Alexandria database. Energies are from PBE.

The calculation puts the density of states at the Fermi level at 0.644 states/eV/atom. For the magnetic moment, the calculation gives 0.0 μB per cell. As for the crystal system: trigonal. The calculation puts the formation energy from raw total energies at -440 meV per atom.

The space group is R-3 (No. 148, hexagonal axes) and the conventional cell measures 12.2746, 12.2746 and 11.7106 Å, with angles of 90.00, 90.00 and 120.00 degrees. Symmetry generates all atoms from Dy at (0.0354, 0.8270, 0.3942), Dy at (0.0455, 0.8517, 0.8873), Si at (0.0521, 0.7806, 0.6546) and C at (0.0000, 0.0000, 0.0000).

***

(3)
Here is an optimized crystal structure of Dy2SiC from the Alexandria database. Energies are from PBE.

The calculation puts the density of states at the Fermi level at 0.450 states/eV/atom. For the magnetic moment, the calculation gives 0.0 μB per cell. As for the crystal system: trigonal. The calculation puts the formation energy from raw total energies at -331 meV per atom.

The space group is R-3m (No. 166, hexagonal axes) and the conventional cell measures 3.5829, 3.5829 and 22.0965 Å, with angles of 90.00, 90.00 and 120.00 degrees. Symmetry generates all atoms from Dy at (0.0000, 0.0000, 0.2286), Si at (0.0000, 0.0000, 0.0000) and C at (0.0000, 0.0000, 0.5000).

***

(4)
Here is an optimized crystal structure of Dy5Si3C from the Alexandria database. Energies are from PBE.

The calculation puts the density of states at the Fermi level at 0.814 states/eV/atom. For the magnetic moment, the calculation gives 0.0 μB per cell. As for the crystal system: hexagonal. The calculation puts the formation energy from raw total energies at -608 meV per atom.

The space group is P6_3/mcm (No. 193) and the conventional cell measures 8.4480, 8.4480 and 6.4372 Å, with angles of 90.00, 90.00 and 120.00 degrees. Symmetry generates all atoms from Dy at (0.0000, 0.2230, 0.2500), Dy at (0.3333, 0.6667, 0.0000), Si at (0.0000, 0.4107, 0.7500) and C at (0.0000, 0.0000, 0.0000).

***

(5)
Here is an optimized crystal structure of DySiC2 from the Alexandria database. Energies are from PBE.

The calculation puts the density of states at the Fermi level at 0.721 states/eV/atom. For the magnetic moment, the calculation gives 0.0 μB per cell. As for the crystal system: trigonal. The calculation puts the formation energy from raw total energies at 641 meV per atom.

The space group is R-3m (No. 166, hexagonal axes) and the conventional cell measures 3.7431, 3.7431 and 17.6898 Å, with angles of 90.00, 90.00 and 120.00 degrees. Symmetry generates all atoms from Dy at (0.0000, 0.0000, 0.0000), Si at (0.0000, 0.0000, 0.5000) and C at (0.0000, 0.0000, 0.4026).

***

(6)
Here is an optimized crystal structure of DySiC from the Alexandria database. Energies are from PBE.

The calculation puts the density of states at the Fermi level at 0.216 states/eV/atom. For the magnetic moment, the calculation gives 0.0 μB per cell. As for the crystal system: tetragonal. The calculation puts the formation energy from raw total energies at -71 meV per atom.

The space group is I4/mmm (No. 139) and the conventional cell measures 3.580, 3.580 and 16.825 Å, with angles of 90.00, 90.00 and 90.00 degrees. Symmetry generates all atoms from Dy at (0.000, 0.000, 0.177), Si at (0.000, 0.000, 0.428) and C at (0.000, 0.000, 0.320).